(1)
Density functional theory data (PBE-GGA) for an optimized crystal structure of Zr2Fe2Pt.

Calculated values
The calculated formation energy is -0.412 eV/atom.

a b c (Å): 6.6280 6.6280 3.7108
angles (deg): 90.00 90.00 90.00
Last column: nearest neighbours and their distance in Å.
Space group P4/mbm (No. 127)
Inequivalent atoms, fractional coordinates:
Zr (0.1833, 0.3167, 0.0000)  6 Fe 2.65-2.75
Fe (0.1143, 0.6143, 0.5000)  1 Fe 2.14
Pt (0.0000, 0.0000, 0.5000)  4 Fe 2.67

(2)
Density functional theory data (PBE-GGA) for an optimized crystal structure of ThBiPb.

Calculated values
The calculated formation energy is -0.144 eV/atom. The distance to the lowest polymorph of the same formula is 0.244 eV/atom.

a b c (Å): 5.6450 5.6450 3.3547
angles (deg): 90.00 90.00 120.00
Last column: nearest neighbours and their distance in Å.
Space group P3m1 (No. 156)
Inequivalent atoms, fractional coordinates:
Th (0.0000, 0.0000, 0.0000)  2 Th 3.35, 6 Pb 3.66-3.67, 6 Bi 3.66-3.67
Bi (0.3333, 0.6667, 0.4996)  3 Pb 3.26, 2 Bi 3.35
Pb (0.6667, 0.3333, 0.5012)  3 Bi 3.26, 2 Pb 3.35

no.,DOS at the Fermi energy (states/eV/f.u.)
1,4.7
2,2.9